# 1
DFT (PBE-GGA) results for a relaxed structure of Tb7Nd3Tm2.

Volume (Å³/f.u.): 393.30
Offset from the most stable computed form (eV per atom): 0.000
Formation energy from the elements (eV/atom): 0.088
Total moment (μB/atom): 0.0000

a b c (Å): 5.8523 3.5719 18.8415
angles (deg): 90.00 93.04 90.00
Sites, in units of the cell vectors:
Tb: 0.0000 0.0000 0.0000
Tb: 0.1929 0.5000 0.1780
Tb: 0.2569 0.5000 0.5368
Tb: 0.3093 0.0000 0.8554
Tb: 0.6907 0.0000 0.1446
Tb: 0.7431 0.5000 0.4632
Tb: 0.8071 0.5000 0.8220
Nd: 0.2218 0.0000 0.3660
Nd: 0.5000 0.5000 0.0000
Nd: 0.7782 0.0000 0.6340
Tm: 0.2883 0.5000 0.7066
Tm: 0.7117 0.5000 0.2934

=====

# 2
DFT (PBE-GGA) results for a relaxed structure of Tb6Nd16Tm7.

Volume (Å³/f.u.): 1018.03
Formation energy from the elements (eV/atom): 0.202
Total moment (μB/atom): 0.0000

a b c (Å): 11.2917 11.2917 11.2917
angles (deg): 60.00 60.00 60.00
Sites, in units of the cell vectors:
Tb: 0.2334 0.2334 0.7666
Tb: 0.2334 0.7666 0.2334
Tb: 0.2334 0.7666 0.7666
Tb: 0.7666 0.2334 0.2334
Tb: 0.7666 0.2334 0.7666
Tb: 0.7666 0.7666 0.2334
Nd: 0.1249 0.6250 0.6250
Nd: 0.1492 0.1492 0.1492
Nd: 0.1492 0.1492 0.5525
Nd: 0.1492 0.5525 0.1492
Nd: 0.3750 0.3750 0.3750
Nd: 0.3750 0.3750 0.8751
Nd: 0.3750 0.8751 0.3750
Nd: 0.4475 0.8508 0.8508
Nd: 0.5525 0.1492 0.1492
Nd: 0.6250 0.1249 0.6250
Nd: 0.6250 0.6250 0.1249
Nd: 0.6250 0.6250 0.6250
Nd: 0.8508 0.4475 0.8508
Nd: 0.8508 0.8508 0.4475
Nd: 0.8508 0.8508 0.8508
Nd: 0.8751 0.3750 0.3750
Tm: 0.0000 0.0000 0.5000
Tm: 0.0000 0.5000 0.0000
Tm: 0.0000 0.5000 0.5000
Tm: 0.5000 0.0000 0.0000
Tm: 0.5000 0.0000 0.5000
Tm: 0.5000 0.5000 0.0000
Tm: 0.5000 0.5000 0.5000